[1]
DFT (GGA-PBE) results for crystalline NdSm4Cd2 at its relaxed geometry. Values from VASP.

Structure (Quantum ESPRESSO input):
```
&SYSTEM
  ibrav = 0, nat = 7, ntyp = 3
/
ATOMIC_SPECIES
Nd 144.24 Nd.upf
Sm 150.36 Sm.upf
Cd 112.41 Cd.upf
ATOMIC_POSITIONS crystal
Nd 0.000 0.000 0.000
Sm 0.750 0.250 0.500
Sm 0.250 0.750 0.500
Sm 0.500 0.000 0.000
Sm 0.000 0.500 0.000
Cd 0.629 0.629 0.257
Cd 0.371 0.371 0.743
CELL_PARAMETERS angstrom
-3.659 -0.311 4.644
1.833 -5.526 1.074
5.517 5.180 0.920
```

Properties
Formation energy from the elements in eV per atom: 0.2059
Density in g/cm3: 7.2

=====

[2]
DFT (GGA-PBE) results for crystalline Nd5SmCd6 at its relaxed geometry. Values from VASP.

Structure (Quantum ESPRESSO input):
```
&SYSTEM
  ibrav = 0, nat = 12, ntyp = 3
/
ATOMIC_SPECIES
Nd 144.24 Nd.upf
Sm 150.36 Sm.upf
Cd 112.41 Cd.upf
ATOMIC_POSITIONS crystal
Nd 0.667 0.500 0.665
Nd 0.333 0.000 0.333
Nd 0.000 0.500 0.000
Nd 0.667 0.000 0.667
Nd 0.333 0.500 0.335
Sm 0.000 0.000 0.000
Cd 0.835 0.752 0.331
Cd 0.835 0.248 0.331
Cd 0.500 0.248 0.000
Cd 0.500 0.752 0.000
Cd 0.165 0.752 0.669
Cd 0.165 0.248 0.669
CELL_PARAMETERS angstrom
5.149 -0.031 1.716
0.042 7.739 0.014
-0.002 -0.015 8.587
```

Properties
Formation energy from the elements in eV per atom: -0.3180
Density in g/cm3: 7.5

=====

[3]
DFT (GGA-PBE) results for crystalline Nd5Sm4Cd4 at its relaxed geometry. Values from VASP.

Structure (Quantum ESPRESSO input):
```
&SYSTEM
  ibrav = 0, nat = 13, ntyp = 3
/
ATOMIC_SPECIES
Nd 144.24 Nd.upf
Sm 150.36 Sm.upf
Cd 112.41 Cd.upf
ATOMIC_POSITIONS crystal
Nd 0.684 0.923 0.709
Nd 0.316 0.077 0.291
Nd 0.000 0.000 0.000
Nd 0.607 0.709 0.077
Nd 0.393 0.291 0.923
Sm 0.903 0.487 0.707
Sm 0.610 0.293 0.487
Sm 0.097 0.513 0.293
Sm 0.390 0.707 0.513
Cd 0.763 0.341 0.132
Cd 0.237 0.659 0.868
Cd 0.895 0.868 0.341
Cd 0.105 0.132 0.659
CELL_PARAMETERS angstrom
-5.281 -0.047 0.641
-2.097 -7.819 4.227
-1.736 3.920 8.063
```

Properties
Formation energy from the elements in eV per atom: -0.1754
Density in g/cm3: 7.2

=====

[4]
DFT (GGA-PBE) results for crystalline Nd2Sm2Cd at its relaxed geometry. Values from VASP.

Structure (Quantum ESPRESSO input):
```
&SYSTEM
  ibrav = 0, nat = 10, ntyp = 3
/
ATOMIC_SPECIES
Nd 144.24 Nd.upf
Sm 150.36 Sm.upf
Cd 112.41 Cd.upf
ATOMIC_POSITIONS crystal
Nd 0.675 0.374 0.718
Nd 0.325 0.626 0.282
Nd 0.049 0.626 0.718
Nd 0.951 0.374 0.282
Sm 0.729 0.000 0.428
Sm 0.597 0.000 0.117
Sm 0.403 0.000 0.883
Sm 0.271 0.000 0.572
Cd 0.156 0.687 0.000
Cd 0.844 0.313 0.000
CELL_PARAMETERS angstrom
8.655 0.000 0.653
4.327 4.710 0.326
4.363 0.000 8.140
```

Properties
Formation energy from the elements in eV per atom: -0.0353
Density in g/cm3: 7.3

=====

[5]
DFT (GGA-PBE) results for crystalline Nd2Sm3Cd at its relaxed geometry. Values from VASP.

Structure (Quantum ESPRESSO input):
```
&SYSTEM
  ibrav = 0, nat = 6, ntyp = 3
/
ATOMIC_SPECIES
Nd 144.24 Nd.upf
Sm 150.36 Sm.upf
Cd 112.41 Cd.upf
ATOMIC_POSITIONS crystal
Nd 0.500 0.500 0.821
Nd 0.500 0.500 0.179
Sm 0.000 0.000 0.000
Sm 0.000 0.000 0.644
Sm 0.000 0.000 0.356
Cd 0.500 0.500 0.500
CELL_PARAMETERS angstrom
-1.437 3.199 1.080
-1.291 0.564 -3.388
-12.219 -6.685 3.542
```

Properties
Formation energy from the elements in eV per atom: -0.0972
Density in g/cm3: 7.3

=====

[6]
DFT (GGA-PBE) results for crystalline Nd2Sm2Cd at its relaxed geometry. Values from VASP.

Structure (Quantum ESPRESSO input):
```
&SYSTEM
  ibrav = 0, nat = 5, ntyp = 3
/
ATOMIC_SPECIES
Nd 144.24 Nd.upf
Sm 150.36 Sm.upf
Cd 112.41 Cd.upf
ATOMIC_POSITIONS crystal
Nd 0.805 0.805 0.611
Nd 0.195 0.195 0.389
Sm 0.587 0.587 0.174
Sm 0.413 0.413 0.826
Cd 0.000 0.000 0.000
CELL_PARAMETERS angstrom
-1.553 -3.228 0.902
2.122 -1.716 -2.490
7.954 0.794 8.971
```

Properties
Formation energy from the elements in eV per atom: -0.1159
Density in g/cm3: 7.3

=====

[7]
DFT (GGA-PBE) results for crystalline Nd2Sm5Cd3 at its relaxed geometry. Values from VASP.

Structure (Quantum ESPRESSO input):
```
&SYSTEM
  ibrav = 0, nat = 20, ntyp = 3
/
ATOMIC_SPECIES
Nd 144.24 Nd.upf
Sm 150.36 Sm.upf
Cd 112.41 Cd.upf
ATOMIC_POSITIONS crystal
Nd 0.158 0.551 0.134
Nd 0.658 0.134 0.551
Nd 0.842 0.449 0.866
Nd 0.342 0.866 0.449
Sm 0.431 0.240 0.898
Sm 0.931 0.898 0.240
Sm 0.569 0.760 0.102
Sm 0.069 0.102 0.760
Sm 0.478 0.772 0.772
Sm 0.522 0.228 0.228
Sm 0.750 0.500 0.500
Sm 0.250 0.500 0.500
Sm 0.022 0.228 0.228
Sm 0.978 0.772 0.772
Cd 0.362 0.509 0.767
Cd 0.862 0.767 0.509
Cd 0.638 0.491 0.233
Cd 0.138 0.233 0.491
Cd 0.250 0.000 0.000
Cd 0.750 0.000 0.000
CELL_PARAMETERS angstrom
-0.899 -5.486 4.134
7.898 -6.616 -1.258
4.340 1.877 9.240
```

Properties
Formation energy from the elements in eV per atom: 0.0359
Density in g/cm3: 6.9

=====

[8]
DFT (GGA-PBE) results for crystalline NdSm2Cd at its relaxed geometry. Values from VASP.

Structure (Quantum ESPRESSO input):
```
&SYSTEM
  ibrav = 0, nat = 4, ntyp = 3
/
ATOMIC_SPECIES
Nd 144.24 Nd.upf
Sm 150.36 Sm.upf
Cd 112.41 Cd.upf
ATOMIC_POSITIONS crystal
Nd 0.500 0.500 0.500
Sm 0.076 0.076 0.771
Sm 0.257 0.257 0.229
Cd 0.667 0.667 0.000
CELL_PARAMETERS angstrom
-2.301 2.840 0.305
-2.282 0.815 -2.754
-9.166 -5.439 3.543
```

Properties
Formation energy from the elements in eV per atom: -0.0554
Density in g/cm3: 7.2

=====

[9]
DFT (GGA-PBE) results for crystalline NdSmCd at its relaxed geometry. Values from VASP.

Structure (Quantum ESPRESSO input):
```
&SYSTEM
  ibrav = 0, nat = 3, ntyp = 3
/
ATOMIC_SPECIES
Nd 144.24 Nd.upf
Sm 150.36 Sm.upf
Cd 112.41 Cd.upf
ATOMIC_POSITIONS crystal
Nd 0.373 0.333 0.667
Sm 0.951 0.000 0.000
Cd 0.676 0.667 0.333
CELL_PARAMETERS angstrom
-3.040 -1.927 0.510
2.666 -4.501 -1.109
-0.277 1.771 5.038
```

Properties
Formation energy from the elements in eV per atom: -0.0856
Density in g/cm3: 7.5

=====

[10]
DFT (GGA-PBE) results for crystalline NdSm2Cd2Sn2 at its relaxed geometry. Values from VASP.

Structure (Quantum ESPRESSO input):
```
&SYSTEM
  ibrav = 0, nat = 7, ntyp = 4
/
ATOMIC_SPECIES
Nd 144.24 Nd.upf
Sm 150.36 Sm.upf
Cd 112.41 Cd.upf
Sn 118.71 Sn.upf
ATOMIC_POSITIONS crystal
Nd 0.000 0.000 0.000
Sm 0.132 0.132 0.603
Sm 0.868 0.868 0.397
Cd 0.579 0.579 0.262
Cd 0.421 0.421 0.738
Sn 0.733 0.733 0.801
Sn 0.267 0.267 0.199
CELL_PARAMETERS angstrom
4.998 0.000 0.000
2.499 4.328 0.000
2.499 1.443 9.077
```

Properties
Formation energy from the elements in eV per atom: -0.3355
Density in g/cm3: 7.7

=====

[11]
DFT (GGA-PBE) results for crystalline Nd2SmCd2Sn2 at its relaxed geometry. Values from VASP.

Structure (Quantum ESPRESSO input):
```
&SYSTEM
  ibrav = 0, nat = 7, ntyp = 4
/
ATOMIC_SPECIES
Nd 144.24 Nd.upf
Sm 150.36 Sm.upf
Cd 112.41 Cd.upf
Sn 118.71 Sn.upf
ATOMIC_POSITIONS crystal
Nd 0.132 0.132 0.605
Nd 0.868 0.868 0.395
Sm 0.000 0.000 0.000
Cd 0.584 0.584 0.247
Cd 0.416 0.416 0.753
Sn 0.731 0.731 0.807
Sn 0.269 0.269 0.193
CELL_PARAMETERS angstrom
-4.874 1.044 0.246
-3.253 -3.563 1.275
-1.772 1.460 9.324
```

Properties
Formation energy from the elements in eV per atom: -0.3342
Density in g/cm3: 7.6

=====

[12]
DFT (GGA-PBE) results for crystalline TbNdSmCd at its relaxed geometry. Values from VASP.

Structure (Quantum ESPRESSO input):
```
&SYSTEM
  ibrav = 0, nat = 4, ntyp = 4
/
ATOMIC_SPECIES
Tb 158.93 Tb.upf
Nd 144.24 Nd.upf
Sm 150.36 Sm.upf
Cd 112.41 Cd.upf
ATOMIC_POSITIONS crystal
Tb 0.500 0.500 0.349
Nd 0.000 0.000 0.075
Sm 0.500 0.500 0.795
Cd 0.000 0.000 0.566
CELL_PARAMETERS angstrom
-3.652 0.252 0.219
-0.047 -2.771 2.400
0.819 5.921 6.852
```

Properties
Formation energy from the elements in eV per atom: -0.1509
Density in g/cm3: 7.7

=====

[13]
DFT (GGA-PBE) results for crystalline TbNdSmCd at its relaxed geometry. Values from VASP.

Structure (Quantum ESPRESSO input):
```
&SYSTEM
  ibrav = 0, nat = 4, ntyp = 4
/
ATOMIC_SPECIES
Nd 144.24 Nd.upf
Tb 158.93 Tb.upf
Sm 150.36 Sm.upf
Cd 112.41 Cd.upf
ATOMIC_POSITIONS crystal
Nd 0.750 0.750 0.750
Tb 0.000 0.000 0.000
Sm 0.250 0.250 0.250
Cd 0.500 0.500 0.500
CELL_PARAMETERS angstrom
5.543 0.000 0.000
2.771 4.800 0.000
2.771 1.600 4.526
```

Properties
Formation energy from the elements in eV per atom: -0.0338
Density in g/cm3: 7.8

=====

[14]
DFT (GGA-PBE) results for crystalline NdSmCdTc at its relaxed geometry. Values from VASP.

Structure (Quantum ESPRESSO input):
```
&SYSTEM
  ibrav = 0, nat = 4, ntyp = 4
/
ATOMIC_SPECIES
Nd 144.24 Nd.upf
Tc 98.00 Tc.upf
Sm 150.36 Sm.upf
Cd 112.41 Cd.upf
ATOMIC_POSITIONS crystal
Nd 0.250 0.250 0.250
Tc 0.500 0.500 0.500
Sm 0.750 0.750 0.750
Cd 0.000 0.000 0.000
CELL_PARAMETERS angstrom
5.170 0.000 0.000
2.585 4.478 0.000
2.585 1.493 4.222
```

Properties
Formation energy from the elements in eV per atom: 0.0010
Density in g/cm3: 8.6

=====

[15]
DFT (GGA-PBE) results for crystalline Nd2SmTl2Cd2 at its relaxed geometry. Values from VASP.

Structure (Quantum ESPRESSO input):
```
&SYSTEM
  ibrav = 0, nat = 7, ntyp = 4
/
ATOMIC_SPECIES
Nd 144.24 Nd.upf
Sm 150.36 Sm.upf
Tl 204.38 Tl.upf
Cd 112.41 Cd.upf
ATOMIC_POSITIONS crystal
Nd 0.127 0.127 0.620
Nd 0.873 0.873 0.380
Sm 0.000 0.000 0.000
Tl 0.740 0.740 0.779
Tl 0.260 0.260 0.221
Cd 0.608 0.608 0.175
Cd 0.392 0.392 0.825
CELL_PARAMETERS angstrom
-2.493 -3.075 -3.112
2.323 -1.928 -4.030
2.651 -8.990 2.685
```

Properties
Formation energy from the elements in eV per atom: -0.1853
Density in g/cm3: 8.7

=====

[16]
DFT (GGA-PBE) results for crystalline NdSm2Tl2Cd2 at its relaxed geometry. Values from VASP.

Structure (Quantum ESPRESSO input):
```
&SYSTEM
  ibrav = 0, nat = 7, ntyp = 4
/
ATOMIC_SPECIES
Nd 144.24 Nd.upf
Sm 150.36 Sm.upf
Tl 204.38 Tl.upf
Cd 112.41 Cd.upf
ATOMIC_POSITIONS crystal
Nd 0.000 0.000 0.000
Sm 0.133 0.133 0.602
Sm 0.867 0.867 0.398
Tl 0.731 0.731 0.807
Tl 0.269 0.269 0.193
Cd 0.577 0.577 0.269
Cd 0.423 0.423 0.731
CELL_PARAMETERS angstrom
-3.450 -2.973 -2.160
1.455 -4.016 -2.676
-0.959 -7.393 5.826
```

Properties
Formation energy from the elements in eV per atom: -0.1819
Density in g/cm3: 9.0

=====

[17]
DFT (GGA-PBE) results for crystalline Nd4Sm2TmCd at its relaxed geometry. Values from VASP.

Structure (Quantum ESPRESSO input):
```
&SYSTEM
  ibrav = 0, nat = 8, ntyp = 4
/
ATOMIC_SPECIES
Nd 144.24 Nd.upf
Sm 150.36 Sm.upf
Tm 168.93 Tm.upf
Cd 112.41 Cd.upf
ATOMIC_POSITIONS crystal
Nd 0.000 0.746 0.754
Nd 0.000 0.254 0.246
Nd 0.500 0.753 0.246
Nd 0.500 0.247 0.754
Sm 0.000 0.000 0.000
Sm 0.500 0.000 0.500
Tm 0.000 0.500 0.500
Cd 0.500 0.500 0.000
CELL_PARAMETERS angstrom
-1.778 -4.524 1.251
4.658 -1.524 1.110
3.400 1.624 10.707
```

Properties
Formation energy from the elements in eV per atom: -0.0381
Density in g/cm3: 7.5

=====

[18]
DFT (GGA-PBE) results for crystalline Nd3Cd12Sn5 at its relaxed geometry. Values from VASP.

Structure (Quantum ESPRESSO input):
```
&SYSTEM
  ibrav = 0, nat = 80, ntyp = 3
/
ATOMIC_SPECIES
Nd 144.24 Nd.upf
Sn 118.71 Sn.upf
Cd 112.41 Cd.upf
ATOMIC_POSITIONS crystal
Nd 0.750 0.375 0.125
Nd 0.875 0.750 0.125
Nd 0.375 0.750 0.625
Nd 0.250 0.125 0.375
Nd 0.875 0.125 0.250
Nd 0.375 0.625 0.250
Nd 0.625 0.375 0.750
Nd 0.125 0.875 0.750
Nd 0.750 0.875 0.625
Nd 0.625 0.250 0.375
Nd 0.125 0.250 0.875
Nd 0.250 0.625 0.875
Sn 0.125 0.375 0.250
Sn 0.000 0.500 0.000
Sn 0.000 0.000 0.000
Sn 0.375 0.250 0.125
Sn 0.500 0.000 0.500
Sn 0.500 0.500 0.000
Sn 0.125 0.750 0.375
Sn 0.750 0.125 0.875
Sn 0.750 0.625 0.375
Sn 0.375 0.125 0.750
Sn 0.625 0.875 0.250
Sn 0.500 0.500 0.500
Sn 0.500 0.000 0.000
Sn 0.000 0.000 0.500
Sn 0.250 0.375 0.625
Sn 0.250 0.875 0.125
Sn 0.000 0.500 0.500
Sn 0.875 0.250 0.625
Sn 0.625 0.750 0.875
Sn 0.875 0.625 0.750
Cd 0.722 0.128 0.052
Cd 0.330 0.552 0.425
Cd 0.948 0.372 0.278
Cd 0.552 0.222 0.128
Cd 0.595 0.722 0.670
Cd 0.948 0.575 0.170
Cd 0.330 0.778 0.405
Cd 0.075 0.905 0.128
Cd 0.575 0.948 0.670
Cd 0.722 0.595 0.170
Cd 0.778 0.448 0.372
Cd 0.830 0.925 0.052
Cd 0.128 0.722 0.552
Cd 0.372 0.425 0.095
Cd 0.095 0.925 0.372
Cd 0.405 0.128 0.575
Cd 0.095 0.170 0.222
Cd 0.448 0.670 0.075
Cd 0.830 0.905 0.278
Cd 0.128 0.405 0.075
Cd 0.372 0.948 0.778
Cd 0.575 0.628 0.405
Cd 0.925 0.830 0.552
Cd 0.778 0.330 0.905
Cd 0.425 0.372 0.595
Cd 0.075 0.170 0.448
Cd 0.222 0.670 0.095
Cd 0.170 0.095 0.722
Cd 0.628 0.052 0.222
Cd 0.872 0.595 0.925
Cd 0.552 0.330 0.925
Cd 0.595 0.872 0.425
Cd 0.905 0.830 0.778
Cd 0.905 0.075 0.628
Cd 0.872 0.278 0.448
Cd 0.170 0.075 0.948
Cd 0.628 0.575 0.905
Cd 0.425 0.052 0.330
Cd 0.278 0.405 0.830
Cd 0.222 0.552 0.628
Cd 0.925 0.095 0.872
Cd 0.670 0.222 0.595
Cd 0.448 0.778 0.872
Cd 0.052 0.425 0.830
Cd 0.405 0.278 0.330
Cd 0.052 0.628 0.722
Cd 0.670 0.448 0.575
Cd 0.278 0.872 0.948
CELL_PARAMETERS angstrom
-2.015 3.272 14.618
-13.448 -1.836 -6.652
8.022 -12.750 -1.250
```

Properties
Formation energy from the elements in eV per atom: 0.2407
Density in g/cm3: 5.9

=====

[19]
DFT (GGA-PBE) results for crystalline Nd6Cd2Sn at its relaxed geometry. Values from VASP.

Structure (Quantum ESPRESSO input):
```
&SYSTEM
  ibrav = 0, nat = 18, ntyp = 3
/
ATOMIC_SPECIES
Nd 144.24 Nd.upf
Cd 112.41 Cd.upf
Sn 118.71 Sn.upf
ATOMIC_POSITIONS crystal
Nd 0.554 0.734 0.820
Nd 0.446 0.266 0.180
Nd 0.087 0.266 0.820
Nd 0.913 0.734 0.180
Nd 0.801 0.746 0.547
Nd 0.199 0.254 0.453
Nd 0.199 0.746 0.945
Nd 0.801 0.254 0.055
Nd 0.732 0.407 0.676
Nd 0.268 0.593 0.324
Nd 0.268 0.944 0.676
Nd 0.732 0.056 0.324
Cd 0.500 0.363 0.863
Cd 0.500 0.637 0.137
Cd 0.637 0.000 0.637
Cd 0.363 0.000 0.363
Sn 0.000 0.500 0.500
Sn 0.000 0.000 0.000
CELL_PARAMETERS angstrom
9.061 0.363 0.159
-3.097 8.523 -0.159
-3.048 -4.399 7.322
```

Properties
Formation energy from the elements in eV per atom: -0.2496
Density in g/cm3: 7.0

=====

[20]
DFT (GGA-PBE) results for crystalline Nd2CdSn2 at its relaxed geometry. Values from VASP.

Structure (Quantum ESPRESSO input):
```
&SYSTEM
  ibrav = 0, nat = 20, ntyp = 3
/
ATOMIC_SPECIES
Nd 144.24 Nd.upf
Cd 112.41 Cd.upf
Sn 118.71 Sn.upf
ATOMIC_POSITIONS crystal
Nd 0.675 0.825 0.500
Nd 0.325 0.175 0.500
Nd 0.825 0.325 0.000
Nd 0.175 0.675 0.000
Nd 0.825 0.325 0.500
Nd 0.175 0.675 0.500
Nd 0.325 0.175 0.000
Nd 0.675 0.825 0.000
Cd 0.500 0.500 0.250
Cd 0.000 0.000 0.750
Cd 0.500 0.500 0.750
Cd 0.000 0.000 0.250
Sn 0.370 0.870 0.250
Sn 0.630 0.130 0.250
Sn 0.130 0.370 0.750
Sn 0.870 0.630 0.750
Sn 0.870 0.630 0.250
Sn 0.130 0.370 0.250
Sn 0.370 0.870 0.750
Sn 0.630 0.130 0.750
CELL_PARAMETERS angstrom
-4.894 1.155 6.026
0.663 -7.563 1.988
7.196 2.063 5.449
```

Properties
Formation energy from the elements in eV per atom: -0.6362
Density in g/cm3: 7.4

=====

Electronic total energy? In order: -24.03 -37.86 -48.66 -40.13 -25.19 -20.47 -71.04 -15.34 -10.66 -26.39 -26.43 -15.64 -15.17 -20.76 -22.11 -22.04 -34.20 -161.94 -73.37 -86.55 eV per cell.